The following is a PBE calculation of Ho2Ga3Ni4Ru after structural relaxation, from Alexandria via LeMat-Bulk.

```
10
Lattice="3.8713 0.0000 0.0000 0.0000 3.8713 0.0000 0.0000 0.0000 10.6769" Properties=species:S:1:pos:R:3 pbc="T T T"
Ru 1.9357 1.9357 5.3385
Ho 1.9357 0.0000 2.7493
Ho 0.0000 1.9357 7.9277
Ga 1.9357 0.0000 9.2671
Ga 0.0000 1.9357 1.4098
Ga 0.0000 0.0000 5.3385
Ni 1.9357 0.0000 6.8880
Ni 0.0000 0.0000 0.0000
Ni 0.0000 1.9357 3.7890
Ni 1.9357 1.9357 0.0000
```

## Properties
Fermi-level density of states   6.181 states/eV/cell
Space group   No. 115
Total magnetization   0.00 μB/f.u.
Energy of formation from the pure elements   -485.1 meV/atom

=====

The following is a PBE calculation of HoGa2Ni2Ru after structural relaxation, from Alexandria via LeMat-Bulk.

```
6
Lattice="4.6304 0.0000 0.0000 0.0000 4.6304 0.0000 0.0000 0.0000 5.1939" Properties=species:S:1:pos:R:3 pbc="T T T"
Ru 0.0000 0.0000 0.0000
Ho 0.0000 0.0000 2.5969
Ga 0.0000 2.3152 0.0000
Ga 2.3152 0.0000 0.0000
Ni 2.3152 2.3152 3.8869
Ni 2.3152 2.3152 1.3070
```

## Properties
Fermi-level density of states   3.241 states/eV/cell
Space group   No. 123
Total magnetization   0.00 μB/f.u.
Energy of formation from the pure elements   17.2 meV/atom

=====

The following is a PBE calculation of Ho2Ga4Ni3Ru after structural relaxation, from Alexandria via LeMat-Bulk.

```
10
Lattice="4.1318 0.0000 0.0000 0.0000 4.1318 0.0000 0.0000 0.0000 9.7866" Properties=species:S:1:pos:R:3 pbc="T T T"
Ga 2.0659 0.0000 6.2009
Ga 0.0000 0.0000 0.0000
Ga 0.0000 2.0659 3.5857
Ga 2.0659 2.0659 0.0000
Ho 0.0000 2.0659 7.2722
Ho 2.0659 0.0000 2.5145
Ni 2.0659 0.0000 8.5400
Ni 0.0000 2.0659 1.2466
Ni 0.0000 0.0000 4.8933
Ru 2.0659 2.0659 4.8933
```

## Properties
Fermi-level density of states   5.707 states/eV/cell
Space group   No. 115
Total magnetization   0.00 μB/f.u.
Energy of formation from the pure elements   -554.4 meV/atom

=====

The following is a PBE calculation of HoGa4NiRu2 after structural relaxation, from Alexandria via LeMat-Bulk.

```
8
Lattice="-0.5302 0.7109 4.1223 -1.9285 -2.8772 2.4047 6.5623 -4.3530 3.7513" Properties=species:S:1:pos:R:3 pbc="T T T"
Ga -0.1761 -2.1638 4.6636
Ga 3.6542 -2.9226 3.1306
Ga 4.2797 -4.3555 5.6147
Ga 0.4494 -3.5967 7.1477
Ho 0.0000 0.0000 0.0000
Ru 2.7159 -4.7116 7.6315
Ru 1.3876 -1.8078 2.6468
Ni 2.0518 -3.2597 5.1392
```

## Properties
Fermi-level density of states   4.795 states/eV/cell
Space group   No. 166
Total magnetization   0.00 μB/f.u.
Energy of formation from the pure elements   -424.9 meV/atom

=====

The following is a PBE calculation of HoScGa2Ni5 after structural relaxation, from Alexandria via LeMat-Bulk.

```
9
Lattice="-3.0445 -2.3416 -0.5900 2.1295 -2.1559 -2.4325 2.5974 -5.0857 6.7813" Properties=species:S:1:pos:R:3 pbc="T T T"
Ga -0.0992 -2.9503 -0.5758
Ga 1.7816 -6.6329 4.3346
Ni 2.9244 -4.7192 3.6389
Ni -0.7845 -2.6153 1.6311
Ni 0.3374 -4.8120 4.5602
Ni 0.8412 -4.7916 1.8794
Ni 1.8025 -2.5225 0.7098
Ho 1.2987 -2.5429 3.3906
Sc 0.0000 0.0000 0.0000
```

## Properties
Fermi-level density of states   5.727 states/eV/cell
Space group   No. 123
Total magnetization   0.00 μB/f.u.
Energy of formation from the pure elements   -372.7 meV/atom

=====

The following is a PBE calculation of HoScGa2Ni2 after structural relaxation, from Alexandria via LeMat-Bulk.

```
6
Lattice="4.2592 0.0000 0.0000 -2.1296 3.6886 0.0000 0.0000 0.0000 6.5598" Properties=species:S:1:pos:R:3 pbc="T T T"
Ni 0.0000 2.4590 4.6830
Ni 2.1296 1.2295 1.8768
Sc 0.0000 0.0000 3.2799
Ho 0.0000 0.0000 0.0000
Ga 2.1296 1.2295 4.7174
Ga 0.0000 2.4590 1.8424
```

## Properties
Fermi-level density of states   4.204 states/eV/cell
Space group   No. 164
Total magnetization   0.00 μB/f.u.
Energy of formation from the pure elements   -638.7 meV/atom

=====

The following is a PBE calculation of Ho2GaSiNi6 after structural relaxation, from Alexandria via LeMat-Bulk.

```
10
Lattice="-1.2977 -4.9678 -3.2408 5.7836 -1.4951 -1.7783 3.7465 -6.9891 -0.1875" Properties=species:S:1:pos:R:3 pbc="T T T"
Ni 4.6373 -3.5194 -2.1736
Ni 3.5951 -9.9327 -3.0330
Ni 3.0607 -5.1447 -1.3420
Ni 5.1717 -8.3074 -3.8646
Ni 4.8015 -8.5704 -1.4490
Ni 3.4310 -4.8817 -3.7576
Ho 2.2111 -7.3339 -2.9611
Ho 6.0213 -6.1182 -2.2455
Ga 2.2430 -3.2315 -2.5095
Si 0.0000 0.0000 0.0000
```

## Properties
Fermi-level density of states   6.196 states/eV/cell
Formation energy from raw total energies   -0.457 eV per atom
Space group   No. 12
Total magnetization   0.00 μB/f.u.

=====

The following is a PBE calculation of Ho2GaSi2Ni5 after structural relaxation, from Alexandria via LeMat-Bulk.

```
20
Lattice="3.1859 0.0000 0.0000 0.0000 9.6380 0.0000 0.0000 0.0000 9.6380" Properties=species:S:1:pos:R:3 pbc="T T T"
Ni 1.5929 6.8256 4.2814
Ni 1.5929 4.8190 0.0000
Ni 1.5929 0.0000 4.8190
Ni 1.5929 4.2814 2.8123
Ni 1.5929 0.5375 7.6313
Ni 1.5929 5.3565 6.8256
Ni 1.5929 2.8123 5.3565
Ni 1.5929 7.6313 9.1004
Ni 1.5929 9.1004 2.0066
Ni 1.5929 2.0066 0.5375
Ho 0.0000 3.1052 7.9241
Ho 0.0000 6.5328 1.7138
Ho 0.0000 7.9241 6.5328
Ho 0.0000 1.7138 3.1052
Si 0.0000 1.1655 5.9845
Si 0.0000 5.9845 8.4724
Si 0.0000 8.4724 3.6534
Si 0.0000 3.6534 1.1655
Ga 0.0000 0.0000 0.0000
Ga 0.0000 4.8190 4.8190
```

## Properties
Fermi-level density of states   15.200 states/eV/cell
Formation energy from raw total energies   -0.490 eV per atom
Space group   No. 127
Total magnetization   0.00 μB/f.u.

=====

The following is a PBE calculation of HoGa2SiNi4 after structural relaxation, from Alexandria via LeMat-Bulk.

```
8
Lattice="-2.9051 1.6722 -2.2456 -1.1540 -1.7601 -3.4423 -6.9517 -4.3017 2.1655" Properties=species:S:1:pos:R:3 pbc="T T T"
Ho 0.0000 0.0000 0.0000
Ni -7.0496 -3.3732 -0.6409
Ni -6.3684 -1.8501 -4.0126
Ni -4.6424 -2.5394 0.4903
Ni -3.9612 -1.0164 -2.8814
Ga -2.8027 -1.1356 -0.8443
Ga -8.2081 -3.2540 -2.6780
Si -5.5054 -2.1948 -1.7612
```

## Properties
Fermi-level density of states   5.164 states/eV/cell
Formation energy from raw total energies   -0.503 eV per atom
Space group   No. 166
Total magnetization   0.00 μB/f.u.

=====

The following is a PBE calculation of Ho2Ga3SiNi4 after structural relaxation, from Alexandria via LeMat-Bulk.

```
10
Lattice="3.9737 0.0000 0.0000 0.0000 3.9737 0.0000 0.0000 0.0000 10.0747" Properties=species:S:1:pos:R:3 pbc="T T T"
Si 1.9868 1.9868 5.0373
Ho 1.9868 0.0000 2.6169
Ho 0.0000 1.9868 7.4578
Ga 0.0000 1.9868 1.3537
Ga 0.0000 0.0000 5.0373
Ga 1.9868 0.0000 8.7210
Ni 0.0000 1.9868 3.7403
Ni 1.9868 0.0000 6.3344
Ni 0.0000 0.0000 0.0000
Ni 1.9868 1.9868 0.0000
```

## Properties
Fermi-level density of states   6.030 states/eV/cell
Formation energy from raw total energies   -0.620 eV per atom
Space group   No. 115
Total magnetization   0.00 μB/f.u.

=====

The following is a PBE calculation of Ho3Ga2SiNi9 after structural relaxation, from Alexandria via LeMat-Bulk.

```
15
Lattice="6.0121 0.0000 0.0000 -3.0060 5.2066 0.0000 0.0000 0.0000 8.0738" Properties=species:S:1:pos:R:3 pbc="T T T"
Ho 3.0060 1.7355 2.5133
Ho 0.0000 0.0000 0.0000
Ho 0.0000 3.4711 5.5605
Ni 3.0060 0.0000 0.0000
Ni -1.8024 4.5117 2.3150
Ni 4.8085 0.6949 5.7588
Ni 1.5030 2.6033 0.0000
Ni 1.8024 4.5117 2.3150
Ni 1.2036 0.6949 5.7588
Ni 0.0000 1.3898 2.3150
Ni 3.0060 3.8168 5.7588
Ni -1.5030 2.6033 0.0000
Ga 0.0000 3.4711 1.5682
Ga 3.0060 1.7355 6.5056
Si 0.0000 0.0000 4.0369
```

## Properties
Fermi-level density of states   9.080 states/eV/cell
Formation energy from raw total energies   -0.193 eV per atom
Space group   No. 164
Total magnetization   0.00 μB/f.u.

=====

The following is a PBE calculation of Ho3GaSi2Ni9 after structural relaxation, from Alexandria via LeMat-Bulk.

```
15
Lattice="5.8132 0.0000 0.0000 -2.9066 5.0344 0.0000 0.0000 0.0000 8.5010" Properties=species:S:1:pos:R:3 pbc="T T T"
Ho 2.9066 1.6781 2.6357
Ho 0.0000 0.0000 0.0000
Ho 0.0000 3.3563 5.8653
Si 0.0000 3.3563 1.5000
Si 2.9066 1.6781 7.0010
Ni 4.6025 0.6990 6.1396
Ni -1.6959 4.3354 2.3615
Ni 2.9066 3.6364 6.1396
Ni 2.9066 0.0000 0.0000
Ni 1.4533 2.5172 0.0000
Ni 0.0000 1.3980 2.3615
Ni 1.6959 4.3354 2.3615
Ni 1.2107 0.6990 6.1396
Ni -1.4533 2.5172 0.0000
Ga 0.0000 0.0000 4.2505
```

## Properties
Fermi-level density of states   9.131 states/eV/cell
Formation energy from raw total energies   -0.309 eV per atom
Space group   No. 164
Total magnetization   0.00 μB/f.u.

=====

The following is a PBE calculation of SmHoGa2Ni2 after structural relaxation, from Alexandria via LeMat-Bulk.

```
6
Lattice="-4.2380 0.5087 0.0271 1.6964 -3.7086 -1.2604 -0.2494 -2.4422 6.8500" Properties=species:S:1:pos:R:3 pbc="T T T"
Ho -0.1247 -1.2211 3.4250
Ga -0.3472 -2.9440 0.9671
Ga -2.4438 -2.6981 4.6495
Ni -0.4646 -4.0935 4.1912
Ni -2.3264 -1.5486 1.4254
Sm 0.0000 0.0000 0.0000
```

## Properties
Fermi-level density of states   5.226 states/eV/cell
Space group   No. 164
Total magnetization   0.00 μB/f.u.
Energy of formation from the pure elements   -589.8 meV/atom

=====

The following is a PBE calculation of Ho3Ga2Ni9Sn after structural relaxation, from Alexandria via LeMat-Bulk.

```
15
Lattice="-2.5311 3.9499 3.6694 -0.0835 -5.7998 1.3520 7.8228 0.9155 4.4107" Properties=species:S:1:pos:R:3 pbc="T T T"
Ni 1.7205 -0.7716 2.0174
Ni -1.3073 -0.9249 2.5107
Ni 0.1465 -1.8852 5.0402
Ni 5.0617 0.9508 4.3918
Ni -0.0418 -2.8999 0.6760
Ni 3.5380 3.3287 6.6007
Ni -1.2655 1.9749 1.8347
Ni 1.6702 -4.2631 2.8313
Ni 3.4877 -0.1628 7.4146
Ga 4.7251 1.4537 6.5280
Ga 0.4832 -2.3881 2.9039
Ho 0.0000 0.0000 0.0000
Ho 0.3309 0.9394 4.0505
Ho 4.8774 -1.8738 5.3815
Sn 3.9114 0.4577 2.2053
```

## Properties
Fermi-level density of states   9.228 states/eV/cell
Space group   No. 164
Total magnetization   0.00 μB/f.u.
Energy of formation from the pure elements   -123.3 meV/atom

=====

The following is a PBE calculation of Ho2Ga3Ni4Sn after structural relaxation, from Alexandria via LeMat-Bulk.

```
10
Lattice="4.0885 0.0000 0.0000 0.0000 4.0885 0.0000 0.0000 0.0000 10.1796" Properties=species:S:1:pos:R:3 pbc="T T T"
Ho 2.0443 0.0000 2.4442
Ho 0.0000 2.0443 7.7354
Ni 2.0443 2.0443 0.0000
Ni 0.0000 0.0000 0.0000
Ni 0.0000 2.0443 3.5867
Ni 2.0443 0.0000 6.5929
Sn 2.0443 2.0443 5.0898
Ga 0.0000 0.0000 5.0898
Ga 2.0443 0.0000 8.9305
Ga 0.0000 2.0443 1.2492
```

## Properties
Fermi-level density of states   7.446 states/eV/cell
Space group   No. 115
Total magnetization   0.00 μB/f.u.
Energy of formation from the pure elements   -540.1 meV/atom

=====

The following is a PBE calculation of HoThGa2Ni2 after structural relaxation, from Alexandria via LeMat-Bulk.

```
6
Lattice="-3.6409 1.2233 1.9500 1.4729 -4.0155 0.5114 3.7876 2.1205 5.7414" Properties=species:S:1:pos:R:3 pbc="T T T"
Ho 1.8938 1.0603 2.8707
Ga 0.7859 -1.6995 2.5334
Ga 0.8337 1.0278 5.6694
Ni 2.5763 -0.6972 5.2474
Ni -0.9567 0.0255 2.9554
Th 0.0000 0.0000 0.0000
```

## Properties
Fermi-level density of states   6.326 states/eV/cell
Space group   No. 164
Total magnetization   0.00 μB/f.u.
Energy of formation from the pure elements   -584.8 meV/atom

=====

The following is a PBE calculation of HoTiGaNi after structural relaxation, from Alexandria via LeMat-Bulk.

```
4
Lattice="-0.6964 -4.4728 1.1054 3.5193 -3.0420 -0.2707 1.8663 -1.7560 3.8918" Properties=species:S:1:pos:R:3 pbc="T T T"
Ni 1.1723 -2.3177 1.1816
Ga 3.5169 -6.9531 3.5448
Ti 2.3446 -4.6354 2.3632
Ho 0.0000 0.0000 0.0000
```

## Properties
Fermi-level density of states   5.401 states/eV/cell
Space group   No. 216
Total magnetization   1.26 μB/f.u.
Energy of formation from the pure elements   -282.6 meV/atom

=====

The following is a PBE calculation of HoTiGa5Ni2 after structural relaxation, from Alexandria via LeMat-Bulk.

```
9
Lattice="4.5877 0.0000 0.0000 0.0000 4.5877 0.0000 0.0000 0.0000 7.2256" Properties=species:S:1:pos:R:3 pbc="T T T"
Ni 2.2938 2.2938 6.0384
Ni 2.2938 2.2938 1.1872
Ga 2.2938 2.2938 3.6128
Ga 0.0000 2.2938 1.5605
Ga 2.2938 0.0000 1.5605
Ga 0.0000 2.2938 5.6651
Ga 2.2938 0.0000 5.6651
Ho 0.0000 0.0000 3.6128
Ti 0.0000 0.0000 0.0000
```

## Properties
Fermi-level density of states   5.172 states/eV/cell
Space group   No. 123
Total magnetization   0.12 μB/f.u.
Energy of formation from the pure elements   -251.6 meV/atom

=====

The following is a PBE calculation of HoTiGa2Ni5 after structural relaxation, from Alexandria via LeMat-Bulk.

```
9
Lattice="-0.8884 2.0395 -3.0565 -0.7665 -3.1783 -1.8980 -8.6171 0.4164 2.7826" Properties=species:S:1:pos:R:3 pbc="T T T"
Ga -1.9577 -0.5148 -2.1123
Ga -8.3143 -0.2076 -0.0596
Ni -2.8689 1.1369 -0.7453
Ni -6.5757 -1.2899 1.0506
Ni -5.1360 -0.3612 -1.0860
Ni -6.6367 1.3190 0.4713
Ni -2.8079 -1.4720 -0.1660
Ho -4.3086 0.2082 1.3913
Ti 0.0000 0.0000 0.0000
```

## Properties
Fermi-level density of states   7.815 states/eV/cell
Space group   No. 123
Total magnetization   1.17 μB/f.u.
Energy of formation from the pure elements   -227.4 meV/atom

=====

The following is a PBE calculation of YHoGaNi after structural relaxation, from Alexandria via LeMat-Bulk.

```
4
Lattice="3.7231 0.0000 0.0000 0.0000 4.3227 0.0000 -1.8615 0.0000 5.4423" Properties=species:S:1:pos:R:3 pbc="T T T"
Ga 1.8615 2.1613 0.7589
Y 0.0000 0.0000 1.5401
Ho 1.8615 2.1613 3.8923
Ni 0.0000 0.0000 4.6933
```

## Properties
Relative energy among the computed polymorphs   0.0 meV/atom
Fermi-level density of states   3.296 states/eV/cell
Space group   No. 38
Total magnetization   0.00 μB/f.u.
Energy of formation from the pure elements   -508.3 meV/atom